Entry from Alexandria via LeMat-Bulk: LiSc6Cd5 after structural relaxation (GGA-PBE). Values from VASP.

```
&SYSTEM
  ibrav = 0, nat = 12, ntyp = 3
/
ATOMIC_SPECIES
Sc 44.96 Sc.upf
Cd 112.41 Cd.upf
Li 6.94 Li.upf
CELL_PARAMETERS angstrom
-2.000 2.136 4.031
4.403 -3.657 4.122
4.023 6.613 1.570
ATOMIC_POSITIONS angstrom
Sc 5.678 2.018 4.826
Sc 2.984 1.216 6.992
Sc 0.090 0.163 3.036
Sc 2.313 -1.684 5.117
Sc 3.441 3.876 2.732
Sc 0.747 3.074 4.898
Cd 0.620 2.857 1.872
Cd 3.539 3.992 5.796
Cd 2.201 -1.829 2.061
Cd 1.402 5.892 3.730
Cd 2.886 1.100 3.927
Li 0.000 0.000 0.000
```

Output
crystal system	orthorhombic
N(E_F)	13.2	states/eV/f.u.
E_form	-0.228	eV per atom